KSr2Cu2: relaxed, PBE-GGA.

Unit cell a=9.237 b=9.237 c=3.776 alpha=90.00 beta=90.00 gamma=90.00
Sites, in units of the cell vectors:
Sr: 0.641 0.141 0.000
Sr: 0.141 0.359 0.000
Sr: 0.859 0.641 0.000
Sr: 0.359 0.859 0.000
Cu: 0.646 0.854 0.500
Cu: 0.146 0.646 0.500
Cu: 0.354 0.146 0.500
Cu: 0.854 0.354 0.500
K: 0.000 0.000 0.000
K: 0.500 0.500 0.000

Computed properties:
DFT total energy   -2.326 eV/atom

***

KSrCu2: relaxed, PBE-GGA.

Unit cell a=5.241 b=5.241 c=5.241 alpha=60.00 beta=60.00 gamma=60.00
Sites, in units of the cell vectors:
Sr: 0.750 0.750 0.750
Cu: 0.250 0.250 0.250
Cu: 0.000 0.000 0.000
K: 0.500 0.500 0.500

Computed properties:
DFT total energy   -2.302 eV/atom

***

K2SrCu: relaxed, PBE-GGA.

Unit cell a=6.321 b=6.321 c=6.321 alpha=60.00 beta=60.00 gamma=60.00
Sites, in units of the cell vectors:
Sr: 0.500 0.500 0.500
K: 0.750 0.750 0.750
K: 0.250 0.250 0.250
Cu: 0.000 0.000 0.000

Computed properties:
DFT total energy   -1.509 eV/atom

***

KSr2Cu2: relaxed, PBE-GGA.

Unit cell a=5.639 b=5.639 c=7.567 alpha=68.12 beta=68.12 gamma=90.00
Sites, in units of the cell vectors:
Cu: 0.750 0.250 0.500
Cu: 0.250 0.750 0.500
K: 0.000 0.000 0.000
Sr: 0.336 0.336 0.329
Sr: 0.664 0.664 0.671

Computed properties:
DFT total energy   -2.256 eV/atom

***

K2SrCu: relaxed, PBE-GGA.

Unit cell a=7.565 b=7.565 c=7.565 alpha=141.04 beta=141.04 gamma=56.28
Sites, in units of the cell vectors:
K: 0.500 0.500 0.000
K: 0.000 0.000 0.000
Sr: 0.250 0.750 0.500
Cu: 0.750 0.250 0.500

Computed properties:
DFT total energy   -1.661 eV/atom

***

KSr4Cu: relaxed, PBE-GGA.

Unit cell a=7.818 b=7.818 c=7.818 alpha=60.00 beta=60.00 gamma=60.00
Sites, in units of the cell vectors:
Cu: 0.750 0.750 0.750
Sr: 0.375 0.874 0.375
Sr: 0.874 0.375 0.375
Sr: 0.375 0.375 0.375
Sr: 0.375 0.375 0.874
K: 0.000 0.000 0.000

Computed properties:
DFT total energy   -1.444 eV/atom

***

We obtain ΔH_f (0 K) values of 0.2042, 0.4410, 0.4844, 0.2744, 0.3327, 0.5424 eV per atom for the records listed above, in that order.
We obtain magnetization values of 0.00, 0.00, 0.00, 0.00, 0.00, 0.00 μB per atom for the records listed above, in that order.